Material: ErHgTe
Method: DFT, PBE
State: optimized geometry

Structure (CIF):
```
data_ErHgTe
_symmetry_space_group_name_H-M 'P 1'
_symmetry_Int_Tables_number 1
_symmetry_space_group_name_Hall 'P 1'
_cell_length_a 4.790
_cell_length_b 4.790
_cell_length_c 10.280
_cell_angle_alpha 76.53
_cell_angle_beta 76.53
_cell_angle_gamma 60.00
loop_
_atom_site_label
_atom_site_fract_x
_atom_site_fract_y
_atom_site_fract_z
Er1 0.563 0.563 0.312
Er2 0.437 0.437 0.688
Te1 0.275 0.275 0.176
Te2 0.725 0.725 0.824
Hg1 0.831 0.831 0.506
Hg2 0.169 0.169 0.494
```

Computed properties:
Fermi-level density of states: 1.8 states/eV/cell
energy relative to the elements, uncorrected: -753 meV/atom
symmetry: R-3m

Material: LaMgTc2
Method: DFT, PBE
State: optimized geometry

Structure (CIF):
```
data_LaMgTc2
_symmetry_space_group_name_H-M 'P 1'
_symmetry_Int_Tables_number 1
_symmetry_space_group_name_Hall 'P 1'
_cell_length_a 3.011
_cell_length_b 3.011
_cell_length_c 8.921
_cell_angle_alpha 90.00
_cell_angle_beta 90.00
_cell_angle_gamma 114.27
loop_
_atom_site_label
_atom_site_fract_x
_atom_site_fract_y
_atom_site_fract_z
La1 0.500 0.500 0.250
Mg1 0.500 0.500 0.750
Tc1 0.000 0.000 0.998
Tc2 0.000 0.000 0.502
```

Computed properties:
Fermi-level density of states: 4.4 states/eV/cell
energy relative to the elements: 0.5010 eV per atom
symmetry: Cmmm